(1)
Below is an optimized crystal structure of VBiAsBr2, with properties calculated at the PBE-GGA level.

The structure in POSCAR format:
```
VBiAsBr2
1.0
-3.1725 0.5542 -3.7811
3.7318 -0.6094 -3.2205
-0.8698 -5.1751 -0.0287
V Br As Bi
1 2 1 1
Cartesian
0.0000 0.0000 0.0000
-1.5863 0.2771 -1.8905
1.8659 -0.3047 -1.6102
-0.4349 -2.5875 -0.0143
-0.1553 -2.6151 -3.5151
```

Values from the calculation:
Polymorph energy (0 for the lowest one): 0.000 eV/atom
Formation energy without anion corrections: 0.038 eV/atom


(2)
Below is an optimized crystal structure of MnBeSiIr, with properties calculated at the PBE-GGA level.

The structure in POSCAR format:
```
MnBeSiIr
1.0
3.9999 0.0000 0.0000
2.0000 3.4640 0.0000
2.0000 1.1547 3.2659
Mn Ir Si Be
1 1 1 1
Cartesian
0.0000 0.0000 0.0000
3.9999 2.3094 1.6330
5.9999 3.4640 2.4494
2.0000 1.1547 0.8165
```

Values from the calculation:
Formation energy without anion corrections: -0.474 eV/atom


(3)
Below is an optimized crystal structure of Sc3AsP, with properties calculated at the PBE-GGA level.

The structure in POSCAR format:
```
Sc3AsP
1.0
-2.7654 -0.3076 3.9562
2.2577 -4.0875 1.2604
3.2633 2.5674 2.4806
As Sc P
1 3 1
Cartesian
1.3778 -0.9139 3.8486
-1.3827 -0.1538 1.9781
1.6316 1.2837 1.2403
1.1289 -2.0438 0.6302
0.0000 0.0000 0.0000
```

Values from the calculation:
Polymorph energy (0 for the lowest one): 0.526 eV/atom
Formation energy: -646 meV per atom


no.,raw total energy (eV per atom),N(E_F) (states/eV/f.u.),theoretical density (g/cm3)
1,-4.16,3.40,6.34
2,-7.27,4.70,10.43
3,-6.46,6.09,3.53